(1)
{"formula": "Ca2Sb", "functional": "SCAN", "state": "single point on PBEsol structure", "vol_a3_per_cell": 172.2, "density_g_cm3": 3.9, "e_tot_ev_per_atom": -19.62, "lattice_angstrom": [[-0.2381, 5.3859, -0.5292], [-1.6837, -2.3484, 4.5820], [6.2503, 0.5287, 2.5677]], "species": ["Ca", "Ca", "Ca", "Ca", "Sb", "Sb"], "frac_coords": [[0.3333, 0.6667, 0.2500], [0.0000, 0.0000, 0.5000], [0.6667, 0.3333, 0.7500], [0.0000, 0.0000, 0.0000], [0.6667, 0.3333, 0.2500], [0.3333, 0.6667, 0.7500]]}

=====

(2)
{"formula": "CaSc2Sb", "functional": "SCAN", "state": "single point on PBEsol structure", "vol_a3_per_cell": 122.8, "density_g_cm3": 3.4, "e_tot_ev_per_atom": -18.95, "lattice_angstrom": [[-0.0010, -2.8468, 2.4401], [2.8123, -0.3682, 2.4523], [-4.1028, 4.6159, 8.2644]], "species": ["Sb", "Ca", "Sc", "Sc"], "frac_coords": [[0.5000, 0.5000, 0.5000], [0.0000, 0.0000, 0.0000], [0.8924, 0.8924, 0.3227], [0.1076, 0.1076, 0.6773]]}